Record 1
# TlSeI4 (PBE, optimized geometry)
data_TlSeI4
_chemical_formula_sum 'Tl2 Se2 I8'
_space_group_name_H-M_alt 'P 1'
_space_group_IT_number 1
_cell_length_a 6.3595
_cell_length_b 9.5666
_cell_length_c 11.2893
_cell_angle_alpha 90.00
_cell_angle_beta 90.00
_cell_angle_gamma 97.59
loop_
_space_group_symop_operation_xyz
'x,y,z'
loop_
_atom_site_label
_atom_site_fract_x
_atom_site_fract_y
_atom_site_fract_z
Tl1 0.0608 0.6714 0.7500
Tl2 0.9392 0.3286 0.2500
Se1 0.8581 0.1386 0.7500
Se2 0.1419 0.8614 0.2500
I1 0.6029 0.8425 0.7500
I2 0.3971 0.1575 0.2500
I3 0.2168 0.0376 0.7500
I4 0.7832 0.9624 0.2500
I5 0.0601 0.6367 0.0717
I6 0.9399 0.3633 0.5717
I7 0.0601 0.6367 0.4283
I8 0.9399 0.3633 0.9283
# * uncorrected energy: -25.59 eV for the cell shown
# * formation energy from raw total energies: -124 meV/atom
# * energy relative to the lowest polymorph listed for this composition: 0 meV/atom
# * mass density: 3.86 g/cm³
# * space group: P2_1/m
# * density of states at the Fermi level: 0.392 states/eV/atom



Record 2
# Tl8Se6I (PBE, optimized geometry)
data_Tl8Se6I
_chemical_formula_sum 'Tl8 Se6 I1'
_space_group_name_H-M_alt 'P 1'
_space_group_IT_number 1
_cell_length_a 8.2482
_cell_length_b 8.2482
_cell_length_c 8.2482
_cell_angle_alpha 102.37
_cell_angle_beta 102.37
_cell_angle_gamma 102.37
loop_
_space_group_symop_operation_xyz
'x,y,z'
loop_
_atom_site_label
_atom_site_fract_x
_atom_site_fract_y
_atom_site_fract_z
Tl1 0.6896 0.6896 0.6896
Tl2 0.3104 0.3104 0.3104
Tl3 0.6483 0.7751 0.1540
Tl4 0.7751 0.1540 0.6483
Tl5 0.1540 0.6483 0.7751
Tl6 0.3517 0.2249 0.8460
Tl7 0.2249 0.8460 0.3517
Tl8 0.8460 0.3517 0.2249
Se1 0.7150 0.4708 0.8832
Se2 0.4708 0.8832 0.7150
Se3 0.8832 0.7150 0.4708
Se4 0.2850 0.5292 0.1168
Se5 0.5292 0.1168 0.2850
Se6 0.1168 0.2850 0.5292
I1 0.0000 0.0000 0.0000
# * uncorrected energy: -45.78 eV for the cell shown
# * formation energy from raw total energies: -293 meV/atom
# * mass density: 7.21 g/cm³
# * space group: R-3
# * density of states at the Fermi level: 0.649 states/eV/atom



Record 3
# Tl3Se2I (PBE, optimized geometry)
data_Tl3Se2I
_chemical_formula_sum 'Tl6 Se4 I2'
_space_group_name_H-M_alt 'P 1'
_space_group_IT_number 1
_cell_length_a 5.0853
_cell_length_b 9.5426
_cell_length_c 12.2997
_cell_angle_alpha 125.99
_cell_angle_beta 101.93
_cell_angle_gamma 90.00
loop_
_space_group_symop_operation_xyz
'x,y,z'
loop_
_atom_site_label
_atom_site_fract_x
_atom_site_fract_y
_atom_site_fract_z
Tl1 0.2172 0.1668 0.4344
Tl2 0.0202 0.7104 0.0403
Tl3 0.4010 0.6806 0.8019
Tl4 0.7828 0.8332 0.5656
Tl5 0.5990 0.3194 0.1981
Tl6 0.9798 0.2896 0.9597
Se1 0.2535 0.5494 0.5070
Se2 0.7465 0.4506 0.4930
Se3 0.9378 0.9205 0.8757
Se4 0.0622 0.0795 0.1243
I1 0.3701 0.2130 0.7402
I2 0.6299 0.7870 0.2598
# * uncorrected energy: -35.41 eV for the cell shown
# * formation energy from raw total energies: -348 meV/atom
# * mass density: 6.39 g/cm³
# * space group: C2/m
# * density of states at the Fermi level: 0.182 states/eV/atom



Record 4
# Tl2SeI2 (PBE, optimized geometry)
data_Tl2SeI2
_chemical_formula_sum 'Tl4 Se2 I4'
_space_group_name_H-M_alt 'P 1'
_space_group_IT_number 1
_cell_length_a 8.7116
_cell_length_b 8.7116
_cell_length_c 4.9214
_cell_angle_alpha 90.00
_cell_angle_beta 90.00
_cell_angle_gamma 90.00
loop_
_space_group_symop_operation_xyz
'x,y,z'
loop_
_atom_site_label
_atom_site_fract_x
_atom_site_fract_y
_atom_site_fract_z
I1 0.3264 0.8264 0.0000
I2 0.8264 0.6736 0.0000
I3 0.6736 0.1736 0.0000
I4 0.1736 0.3264 0.0000
Tl1 0.1477 0.6477 0.5000
Tl2 0.6477 0.8523 0.5000
Tl3 0.8523 0.3523 0.5000
Tl4 0.3523 0.1477 0.5000
Se1 0.0000 0.0000 0.0000
Se2 0.5000 0.5000 0.0000
# * uncorrected energy: -24.41 eV for the cell shown
# * formation energy from raw total energies: -178 meV/atom
# * energy relative to the lowest polymorph listed for this composition: 99 meV/atom
# * mass density: 6.59 g/cm³
# * space group: P4/mbm
# * density of states at the Fermi level: 0.000 states/eV/atom



Record 5
# Tl5SeI4 (PBE, optimized geometry)
data_Tl5SeI4
_chemical_formula_sum 'Tl5 Se1 I4'
_space_group_name_H-M_alt 'P 1'
_space_group_IT_number 1
_cell_length_a 6.7593
_cell_length_b 8.4713
_cell_length_c 8.4713
_cell_angle_alpha 80.84
_cell_angle_beta 66.49
_cell_angle_gamma 66.49
loop_
_space_group_symop_operation_xyz
'x,y,z'
loop_
_atom_site_label
_atom_site_fract_x
_atom_site_fract_y
_atom_site_fract_z
Tl1 0.9104 0.3568 0.8244
Tl2 0.2672 0.8244 0.6432
Tl3 0.7348 0.1756 0.3568
Tl4 0.0916 0.6432 0.1756
Tl5 0.5017 0.0000 0.0000
Se1 0.0008 0.0000 0.0000
I1 0.4045 0.4014 0.7916
I2 0.8059 0.7916 0.5986
I3 0.1961 0.2084 0.4014
I4 0.5975 0.5986 0.2084
# * uncorrected energy: -26.70 eV for the cell shown
# * formation energy from raw total energies: -519 meV/atom
# * mass density: 6.55 g/cm³
# * space group: I4
# * density of states at the Fermi level: 0.684 states/eV/atom



Record 6
# TlSe2I6 (PBE, optimized geometry)
data_TlSe2I6
_chemical_formula_sum 'Tl2 Se4 I12'
_space_group_name_H-M_alt 'P 1'
_space_group_IT_number 1
_cell_length_a 10.8658
_cell_length_b 10.7579
_cell_length_c 10.7579
_cell_angle_alpha 73.27
_cell_angle_beta 64.30
_cell_angle_gamma 64.30
loop_
_space_group_symop_operation_xyz
'x,y,z'
loop_
_atom_site_label
_atom_site_fract_x
_atom_site_fract_y
_atom_site_fract_z
Tl1 0.2500 0.1403 0.8597
Tl2 0.7500 0.8597 0.1403
Se1 0.2964 0.6217 0.7545
Se2 0.2036 0.2455 0.3783
Se3 0.7036 0.3783 0.2455
Se4 0.7964 0.7545 0.6217
I1 0.5686 0.6690 0.6488
I2 0.9314 0.3512 0.3310
I3 0.4314 0.3310 0.3512
I4 0.0686 0.6488 0.6690
I5 0.8442 0.9225 0.3932
I6 0.6558 0.6068 0.0775
I7 0.1558 0.0775 0.6068
I8 0.3442 0.3932 0.9225
I9 0.1026 0.8693 0.9265
I10 0.3974 0.0735 0.1307
I11 0.8974 0.1307 0.0735
I12 0.6026 0.9265 0.8693
# * uncorrected energy: -38.48 eV for the cell shown
# * formation energy from raw total energies: -67 meV/atom
# * mass density: 3.68 g/cm³
# * space group: C2/c
# * density of states at the Fermi level: 0.183 states/eV/atom



Record 7
# Tl3SeI2 (PBE, optimized geometry)
data_Tl3SeI2
_chemical_formula_sum 'Tl6 Se2 I4'
_space_group_name_H-M_alt 'P 1'
_space_group_IT_number 1
_cell_length_a 6.7213
_cell_length_b 9.1685
_cell_length_c 8.4343
_cell_angle_alpha 105.84
_cell_angle_beta 113.48
_cell_angle_gamma 90.00
loop_
_space_group_symop_operation_xyz
'x,y,z'
loop_
_atom_site_label
_atom_site_fract_x
_atom_site_fract_y
_atom_site_fract_z
Tl1 0.4992 0.2500 0.0000
Tl2 0.5008 0.7500 0.0000
Tl3 0.1344 0.0674 0.2687
Tl4 0.8657 0.4326 0.7313
Tl5 0.1343 0.5674 0.2687
Tl6 0.8656 0.9326 0.7313
Se1 0.0007 0.7500 0.0000
Se2 0.9993 0.2500 0.0000
I1 0.6786 0.5895 0.3572
I2 0.6787 0.0895 0.3572
I3 0.3213 0.9105 0.6428
I4 0.3214 0.4105 0.6428
# * uncorrected energy: -32.81 eV for the cell shown
# * formation energy from raw total energies: -454 meV/atom
# * mass density: 6.90 g/cm³
# * space group: C2/c
# * density of states at the Fermi level: 0.587 states/eV/atom



Record 8
# Tl2Se2I (PBE, optimized geometry)
data_Tl2Se2I
_chemical_formula_sum 'Tl2 Se2 I1'
_space_group_name_H-M_alt 'P 1'
_space_group_IT_number 1
_cell_length_a 5.9577
_cell_length_b 5.9577
_cell_length_c 6.2820
_cell_angle_alpha 61.69
_cell_angle_beta 61.69
_cell_angle_gamma 90.00
loop_
_space_group_symop_operation_xyz
'x,y,z'
loop_
_atom_site_label
_atom_site_fract_x
_atom_site_fract_y
_atom_site_fract_z
I1 0.0000 0.0000 0.0000
Tl1 0.7500 0.2500 0.5000
Tl2 0.2500 0.7500 0.5000
Se1 0.3750 0.3750 0.2500
Se2 0.6250 0.6250 0.7500
# * uncorrected energy: -15.06 eV for the cell shown
# * formation energy from raw total energies: -362 meV/atom
# * energy relative to the lowest polymorph listed for this composition: 0 meV/atom
# * mass density: 6.96 g/cm³
# * space group: I4/mmm
# * density of states at the Fermi level: 0.351 states/eV/atom



Record 9
# Tl6SeI4 (PBE, optimized geometry)
data_Tl6SeI4
_chemical_formula_sum 'Tl12 Se2 I8'
_space_group_name_H-M_alt 'P 1'
_space_group_IT_number 1
_cell_length_a 9.4628
_cell_length_b 9.4628
_cell_length_c 9.9439
_cell_angle_alpha 90.00
_cell_angle_beta 90.00
_cell_angle_gamma 90.00
loop_
_space_group_symop_operation_xyz
'x,y,z'
loop_
_atom_site_label
_atom_site_fract_x
_atom_site_fract_y
_atom_site_fract_z
Tl1 0.6883 0.9043 0.5000
Tl2 0.3117 0.0957 0.5000
Tl3 0.5957 0.8117 0.0000
Tl4 0.0957 0.6883 0.5000
Tl5 0.9043 0.3117 0.5000
Tl6 0.1883 0.5957 0.0000
Tl7 0.8117 0.4043 0.0000
Tl8 0.4043 0.1883 0.0000
Tl9 0.0000 0.0000 0.8019
Tl10 0.5000 0.5000 0.6981
Tl11 0.0000 0.0000 0.1981
Tl12 0.5000 0.5000 0.3019
Se1 0.0000 0.0000 0.5000
Se2 0.5000 0.5000 0.0000
I1 0.1721 0.3279 0.7500
I2 0.6721 0.1721 0.7500
I3 0.3279 0.8279 0.7500
I4 0.8279 0.6721 0.7500
I5 0.8279 0.6721 0.2500
I6 0.3279 0.8279 0.2500
I7 0.6721 0.1721 0.2500
I8 0.1721 0.3279 0.2500
# * uncorrected energy: -60.69 eV for the cell shown
# * formation energy from raw total energies: -587 meV/atom
# * mass density: 6.76 g/cm³
# * space group: P4/mnc
# * density of states at the Fermi level: 0.000 states/eV/atom



Record 10
# TlSe2I (PBE, optimized geometry)
data_TlSe2I
_chemical_formula_sum 'Tl1 Se2 I1'
_space_group_name_H-M_alt 'P 1'
_space_group_IT_number 1
_cell_length_a 5.3185
_cell_length_b 5.3185
_cell_length_c 5.3185
_cell_angle_alpha 60.00
_cell_angle_beta 60.00
_cell_angle_gamma 60.00
loop_
_space_group_symop_operation_xyz
'x,y,z'
loop_
_atom_site_label
_atom_site_fract_x
_atom_site_fract_y
_atom_site_fract_z
I1 0.0000 0.0000 0.0000
Tl1 0.5000 0.5000 0.5000
Se1 0.2500 0.2500 0.2500
Se2 0.7500 0.7500 0.7500
# * uncorrected energy: -9.36 eV for the cell shown
# * formation energy from raw total energies: 382 meV/atom
# * energy relative to the lowest polymorph listed for this composition: 417 meV/atom
# * mass density: 7.64 g/cm³
# * space group: Fm-3m
# * density of states at the Fermi level: 1.135 states/eV/atom